# Th6CoTe3Ir2 PBE-GGA relaxed
# - DOS(E_F): 0.666 states/eV per atom
# - Total magnetic moment: 0.000 μB per formula unit
# - Formation energy without anion corrections: -1.007 eV per atom
# - Calculated total energy: -7.57 eV/atom
data_Th6CoTe3Ir2
_chemical_formula_sum 'Th12 Co2 Te6 Ir4'
_symmetry_space_group_name_H-M 'C 1 2/m 1'
_symmetry_Int_Tables_number 12
_symmetry_space_group_name_Hall '-C 2y'
_cell_length_a 7.2282
_cell_length_b 12.5098
_cell_length_c 8.0495
_cell_angle_alpha 90.00
_cell_angle_beta 107.45
_cell_angle_gamma 90.00
loop_
_atom_site_label
_atom_site_type_symbol
_atom_site_fract_x
_atom_site_fract_y
_atom_site_fract_z
_atom_site_occupancy
Th1 Th 0.2283 0.1622 0.1985 1
Th2 Th 0.2420 0.5000 0.1998 1
Co1 Co 0.0000 0.0000 0.0000 1
Te1 Te 0.0000 0.1688 0.5000 1
Te2 Te 0.0000 0.5000 0.5000 1
Ir1 Ir 0.0000 0.3335 0.0000 1